Material: CsK2MoO4
Method: DFT, GGA+U
State: relaxed

Properties
Calculated density ... 3.48 Mg/m³
Spin magnetization ... 1.0 μB/f.u.
Energy ... -5.45 eV per atom

Cell lengths 6.5730, 6.5730, 6.1778 Å; angles 121.75, 121.75, 90.62 degrees
Closest atoms and distances in Å follow each position.
Positions (direct):
O 0.7862 0.4356 0.2218  1 Mo 1.88
O 0.5616 0.5616 0.7713  1 Mo 1.88
O 0.4356 0.7862 0.2218  1 Mo 1.88
O 0.2096 0.2096 0.7713  1 Mo 1.88
Cs 0.0029 0.0029 0.0058  4 O 3.15-3.16
K 0.2524 0.7524 0.5048  4 O 2.67-2.68
K 0.7524 0.2524 0.5048  4 O 2.67-2.68
Mo 0.4995 0.4995 0.9990  4 O 1.88